Crystalline LiZrO2 at its relaxed geometry, computed with GGA-PBE.

Unit cell a=4.759 b=4.759 c=5.886 alpha=66.16 beta=66.16 gamma=90.00
Positions (direct):
1 O 0.622 0.125 0.250
2 O 0.128 0.625 0.250
3 O 0.375 0.378 0.750
4 O 0.875 0.872 0.750
5 Zr 0.000 0.000 0.000
6 Zr 0.750 0.250 0.500
7 Li 0.500 0.500 0.000
8 Li 0.250 0.750 0.500

Values from the calculation:
Total magnetic moment   1.8 Bohr magnetons per cell
Calculated total energy   -7.408 eV per atom
E_form (uncorrected)   -9.25 eV/f.u.


Crystalline Ce2ThTc at its relaxed geometry, computed with GGA-PBE.

Unit cell a=3.476 b=3.476 c=8.157 alpha=90.00 beta=90.00 gamma=90.00
Positions (direct):
1 Ce 0.000 0.000 0.790
2 Ce 0.000 0.000 0.210
3 Th 0.500 0.500 0.500
4 Tc 0.500 0.500 0.000

Values from the calculation:
Energy of formation   -10.2 meV per atom
Total magnetic moment   0.0 Bohr magnetons per cell
Calculated total energy   -7.424 eV per atom


Crystalline MnInSb2 at its relaxed geometry, computed with GGA-PBE.

Unit cell a=3.220 b=3.220 c=9.076 alpha=90.00 beta=90.00 gamma=96.41
Positions (direct):
1 In 0.000 0.000 0.542
2 Mn 0.500 0.500 0.746
3 Sb 0.000 0.000 0.941
4 Sb 0.500 0.500 0.271

Values from the calculation:
Total magnetic moment   3.1 Bohr magnetons per cell
Calculated total energy   -4.817 eV per atom
E_form (uncorrected)   0.88 eV/f.u.


Crystalline RbTlCd at its relaxed geometry, computed with GGA-PBE.

Unit cell a=5.072 b=5.386 c=8.662 alpha=90.00 beta=107.03 gamma=90.00
Positions (direct):
1 Rb 0.417 0.250 0.333
2 Rb 0.583 0.750 0.667
3 Tl 0.854 0.750 0.207
4 Tl 0.146 0.250 0.793
5 Cd 0.253 0.750 0.005
6 Cd 0.747 0.250 0.995

Values from the calculation:
Energy of formation   -23.5 meV per atom
Total magnetic moment   0.0 Bohr magnetons per cell
Calculated total energy   -1.440 eV per atom


Crystalline ZrMoSeCl2 at its relaxed geometry, computed with GGA-PBE.

Unit cell a=5.123 b=5.264 c=5.123 alpha=90.00 beta=90.00 gamma=90.00
Positions (direct):
1 Mo 0.500 0.500 0.500
2 Se 0.000 0.000 0.000
3 Zr 0.000 0.500 0.000
4 Cl 0.000 0.000 0.500
5 Cl 0.500 0.000 0.000

Values from the calculation:
Total magnetic moment   3.4 Bohr magnetons per cell
Calculated total energy   -4.290 eV per atom
E_form (uncorrected)   5.11 eV/f.u.


Crystalline La3TlPb2 at its relaxed geometry, computed with GGA-PBE.

Unit cell a=6.741 b=6.537 c=9.517 alpha=101.40 beta=110.74 gamma=90.00
Positions (direct):
1 La 0.632 0.250 0.000
2 La 0.368 0.750 0.000
3 La 0.288 0.102 0.341
4 La 0.947 0.398 0.659
5 La 0.053 0.602 0.341
6 La 0.712 0.898 0.659
7 Tl 0.874 0.750 0.000
8 Tl 0.126 0.250 0.000
9 Pb 0.548 0.565 0.321
10 Pb 0.772 0.065 0.321
11 Pb 0.228 0.935 0.679
12 Pb 0.452 0.435 0.679

Values from the calculation:
Energy of formation   -488.1 meV per atom
Total magnetic moment   0.0 Bohr magnetons per cell
Calculated total energy   -4.582 eV per atom


Crystalline Y2CrBr at its relaxed geometry, computed with GGA-PBE.

Unit cell a=5.034 b=3.476 c=5.870 alpha=72.78 beta=90.00 gamma=90.00
Positions (direct):
1 Br 0.000 0.725 0.425
2 Cr 0.500 0.521 0.833
3 Y 0.000 0.989 0.897
4 Y 0.500 0.265 0.345

Values from the calculation:
Total magnetic moment   3.0 Bohr magnetons per cell
Calculated total energy   -6.200 eV per atom
E_form (uncorrected)   -0.58 eV/f.u.


Crystalline Pr7Er12Sc at its relaxed geometry, computed with GGA-PBE.

Unit cell a=9.774 b=9.774 c=9.774 alpha=109.47 beta=109.47 gamma=109.47
Positions (direct):
1 Pr 0.500 0.500 0.000
2 Pr 0.000 0.500 0.500
3 Pr 0.500 0.000 0.500
4 Pr 0.500 0.500 0.500
5 Pr 0.000 0.000 0.500
6 Pr 0.500 0.000 0.000
7 Pr 0.000 0.500 0.000
8 Er 0.520 0.761 0.760
9 Er 0.001 0.761 0.240
10 Er 0.480 0.239 0.240
11 Er 0.999 0.239 0.760
12 Er 0.760 0.999 0.239
13 Er 0.760 0.520 0.761
14 Er 0.240 0.001 0.761
15 Er 0.240 0.480 0.239
16 Er 0.761 0.760 0.520
17 Er 0.239 0.240 0.480
18 Er 0.761 0.240 0.001
19 Er 0.239 0.760 0.999
20 Sc 0.000 0.000 0.000

Values from the calculation:
Energy of formation   679.5 meV per atom
Total magnetic moment   0.0 Bohr magnetons per cell
Calculated total energy   -4.048 eV per atom


Crystalline MgSi3Ir at its relaxed geometry, computed with GGA-PBE.

Unit cell a=4.696 b=4.696 c=4.696 alpha=90.00 beta=90.00 gamma=90.00
Positions (direct):
1 Si 0.000 0.500 0.000
2 Si 0.000 0.000 0.500
3 Si 0.500 0.000 0.000
4 Ir 0.000 0.000 0.000
5 Mg 0.500 0.500 0.500

Values from the calculation:
Total magnetic moment   0.0 Bohr magnetons per cell
Calculated total energy   -4.945 eV per atom
E_form (uncorrected)   2.00 eV/f.u.


Crystalline MgMnOs at its relaxed geometry, computed with GGA-PBE.

Unit cell a=6.980 b=6.777 c=2.735 alpha=82.74 beta=74.39 gamma=22.88
Positions (direct):
1 Mg 0.999 0.999 0.001
2 Mn 0.676 0.676 0.324
3 Os 0.325 0.325 0.675

Values from the calculation:
Energy of formation   299.1 meV per atom
Total magnetic moment   3.2 Bohr magnetons per cell
Calculated total energy   -7.032 eV per atom


Crystalline BeSn2S at its relaxed geometry, computed with GGA-PBE.

Unit cell a=5.827 b=5.827 c=7.215 alpha=66.18 beta=66.18 gamma=90.00
Positions (direct):
1 Be 0.500 0.500 0.000
2 Be 0.250 0.750 0.500
3 S 0.000 0.000 0.000
4 S 0.750 0.250 0.500
5 Sn 0.580 0.125 0.250
6 Sn 0.170 0.625 0.250
7 Sn 0.375 0.420 0.750
8 Sn 0.875 0.830 0.750

Values from the calculation:
Total magnetic moment   0.0 Bohr magnetons per cell
Calculated total energy   -3.922 eV per atom
E_form (uncorrected)   0.17 eV/f.u.


Crystalline ZnIr2Pb at its relaxed geometry, computed with GGA-PBE.

Unit cell a=4.663 b=4.663 c=5.221 alpha=79.20 beta=79.20 gamma=38.12
Positions (direct):
1 Ir 0.990 0.990 0.035
2 Ir 0.510 0.510 0.465
3 Pb 0.750 0.750 0.750
4 Zn 0.250 0.250 0.250

Values from the calculation:
Energy of formation   291.0 meV per atom
Total magnetic moment   0.0 Bohr magnetons per cell
Calculated total energy   -5.385 eV per atom


Crystalline Be2FePd3 at its relaxed geometry, computed with GGA-PBE.

Unit cell a=2.772 b=2.772 c=9.521 alpha=90.00 beta=90.00 gamma=90.00
Positions (direct):
1 Be 0.500 0.500 0.844
2 Be 0.500 0.500 0.156
3 Fe 0.500 0.500 0.500
4 Pd 0.000 0.000 0.000
5 Pd 0.000 0.000 0.697
6 Pd 0.000 0.000 0.303

Values from the calculation:
Energy of formation   -423.3 meV per atom
Total magnetic moment   3.3 Bohr magnetons per cell
Calculated total energy   -5.672 eV per atom


Crystalline KSiNO2 at its relaxed geometry, computed with GGA-PBE.

Unit cell a=3.703 b=3.703 c=3.809 alpha=90.00 beta=90.00 gamma=90.00
Positions (direct):
1 K 0.500 0.500 0.500
2 Si 0.000 0.000 0.000
3 O 0.000 0.500 0.000
4 O 0.500 0.000 0.000
5 N 0.000 0.000 0.500

Values from the calculation:
Total magnetic moment   2.0 Bohr magnetons per cell
Calculated total energy   -5.857 eV per atom
E_form (uncorrected)   -4.52 eV/f.u.


Crystalline LiHo2Pb at its relaxed geometry, computed with GGA-PBE.

Unit cell a=4.335 b=4.901 c=4.901 alpha=90.00 beta=90.00 gamma=90.00
Positions (direct):
1 Pb 0.500 0.500 0.500
2 Ho 0.000 0.000 0.500
3 Ho 0.000 0.500 0.000
4 Li 0.500 0.000 0.000

Values from the calculation:
Energy of formation   -284.0 meV per atom
Total magnetic moment   0.5 Bohr magnetons per cell
Calculated total energy   -3.978 eV per atom


Crystalline NbGaO4 at its relaxed geometry, computed with GGA-PBE.

Unit cell a=5.626 b=5.626 c=5.626 alpha=107.32 beta=107.32 gamma=113.88
Positions (direct):
1 Nb 0.237 0.237 0.000
2 Nb 0.987 0.487 0.500
3 Ga 0.746 0.746 0.000
4 Ga 0.496 0.996 0.500
5 O 0.757 0.459 0.701
6 O 0.252 0.946 0.695
7 O 0.209 0.007 0.201
8 O 0.696 0.502 0.195
9 O 0.307 0.502 0.805
10 O 0.806 0.007 0.799
11 O 0.757 0.056 0.299
12 O 0.252 0.557 0.305

Values from the calculation:
Total magnetic moment   0.0 Bohr magnetons per cell
Calculated total energy   -7.677 eV per atom
E_form (uncorrected)   -13.13 eV/f.u.


Crystalline BiHF2 at its relaxed geometry, computed with GGA-PBE.

Unit cell a=6.679 b=6.679 c=6.679 alpha=28.90 beta=28.90 gamma=28.90
Positions (direct):
1 H 0.000 0.000 0.000
2 Bi 0.500 0.500 0.500
3 F 0.940 0.940 0.940
4 F 0.060 0.060 0.060

Values from the calculation:
Total magnetic moment   0.0 Bohr magnetons per cell
Calculated total energy   -4.137 eV per atom


Crystalline Cs3Cd3Pb8 at its relaxed geometry, computed with GGA-PBE.

Unit cell a=5.442 b=10.188 c=10.118 alpha=71.38 beta=74.40 gamma=74.51
Positions (direct):
1 Cs 0.296 0.703 0.705
2 Cs 0.704 0.297 0.295
3 Cs 0.000 0.000 0.000
4 Cd 0.000 0.500 0.500
5 Cd 0.665 0.685 0.986
6 Cd 0.335 0.315 0.014
7 Pb 0.155 0.126 0.564
8 Pb 0.845 0.874 0.436
9 Pb 0.864 0.424 0.847
10 Pb 0.136 0.576 0.153
11 Pb 0.500 0.686 0.313
12 Pb 0.500 0.314 0.687
13 Pb 0.353 0.020 0.274
14 Pb 0.647 0.980 0.726

Values from the calculation:
Energy of formation   -73.0 meV per atom
Total magnetic moment   0.0 Bohr magnetons per cell
Calculated total energy   -2.571 eV per atom


Crystalline CoP2W at its relaxed geometry, computed with GGA-PBE.

Unit cell a=4.208 b=4.208 c=4.208 alpha=60.00 beta=60.00 gamma=60.00
Positions (direct):
1 Co 0.500 0.500 0.500
2 P 0.000 0.000 0.000
3 P 0.250 0.250 0.250
4 W 0.750 0.750 0.750

Values from the calculation:
Energy of formation   466.9 meV per atom
Total magnetic moment   0.0 Bohr magnetons per cell
Calculated total energy   -7.253 eV per atom


Crystalline Rb2ZrAlH at its relaxed geometry, computed with GGA-PBE.

Unit cell a=7.120 b=3.775 c=7.120 alpha=90.00 beta=90.00 gamma=90.00
Positions (direct):
1 H 0.000 0.500 0.000
2 Rb 0.000 0.000 0.500
3 Rb 0.500 0.000 0.000
4 Zr 0.000 0.000 0.000
5 Al 0.500 0.500 0.500

Values from the calculation:
Total magnetic moment   2.4 Bohr magnetons per cell
Calculated total energy   -2.614 eV per atom


Crystalline SrErZn2Au2 at its relaxed geometry, computed with GGA-PBE.

Unit cell a=4.586 b=4.586 c=7.629 alpha=90.00 beta=90.00 gamma=120.00
Positions (direct):
1 Sr 0.000 0.000 0.000
2 Er 0.000 0.000 0.500
3 Zn 0.667 0.333 0.290
4 Zn 0.333 0.667 0.710
5 Au 0.667 0.333 0.706
6 Au 0.333 0.667 0.294

Values from the calculation:
Energy of formation   -641.6 meV per atom
Total magnetic moment   0.0 Bohr magnetons per cell
Calculated total energy   -3.199 eV per atom


Crystalline InRhS2 at its relaxed geometry, computed with GGA-PBE.

Unit cell a=3.631 b=3.631 c=7.276 alpha=75.55 beta=75.55 gamma=60.00
Positions (direct):
1 In 0.502 0.502 0.495
2 Rh 0.666 0.666 0.001
3 S 0.056 0.056 0.831
4 S 0.276 0.276 0.173

Values from the calculation:
Total magnetic moment   0.0 Bohr magnetons per cell
Calculated total energy   -4.944 eV per atom
E_form (uncorrected)   -1.43 eV/f.u.


Crystalline HfZrAlRe at its relaxed geometry, computed with GGA-PBE.

Unit cell a=4.710 b=4.710 c=4.710 alpha=60.00 beta=60.00 gamma=60.00
Positions (direct):
1 Re 0.000 0.000 0.000
2 Hf 0.750 0.750 0.750
3 Al 0.500 0.500 0.500
4 Zr 0.250 0.250 0.250

Values from the calculation:
Energy of formation   -332.4 meV per atom
Total magnetic moment   0.0 Bohr magnetons per cell
Calculated total energy   -9.006 eV per atom


Crystalline DyTl5S4 at its relaxed geometry, computed with GGA-PBE.

Unit cell a=4.081 b=8.520 c=9.455 alpha=72.59 beta=102.46 gamma=90.00
Positions (direct):
1 Dy 0.500 0.000 0.000
2 Tl 0.842 0.808 0.685
3 Tl 0.817 0.306 0.634
4 Tl 0.183 0.694 0.366
5 Tl 0.500 0.500 0.000
6 Tl 0.158 0.192 0.315
7 S 0.345 0.045 0.689
8 S 0.020 0.771 0.040
9 S 0.655 0.955 0.311
10 S 0.980 0.229 0.960

Values from the calculation:
Total magnetic moment   0.0 Bohr magnetons per cell
Calculated total energy   -4.085 eV per atom
E_form (uncorrected)   -7.91 eV/f.u.


Crystalline Be3OsC at its relaxed geometry, computed with GGA-PBE.

Unit cell a=4.170 b=4.170 c=4.170 alpha=90.00 beta=90.00 gamma=90.00
Positions (direct):
1 Be 0.000 0.500 0.000
2 Be 0.000 0.000 0.500
3 Be 0.500 0.000 0.000
4 C 0.500 0.500 0.500
5 Os 0.000 0.000 0.000

Values from the calculation:
Energy of formation   2015.0 meV per atom
Total magnetic moment   0.0 Bohr magnetons per cell
Calculated total energy   -4.311 eV per atom


Crystalline ZrReP2 at its relaxed geometry, computed with GGA-PBE.

Unit cell a=5.141 b=5.141 c=7.345 alpha=69.51 beta=69.51 gamma=90.00
Positions (direct):
1 Re 0.000 0.000 0.000
2 Re 0.750 0.250 0.500
3 Zr 0.500 0.500 0.000
4 Zr 0.250 0.750 0.500
5 P 0.679 0.125 0.250
6 P 0.071 0.625 0.250
7 P 0.375 0.321 0.750
8 P 0.875 0.929 0.750

Values from the calculation:
Energy of formation   -162.2 meV per atom
Total magnetic moment   0.0 Bohr magnetons per cell
Calculated total energy   -8.116 eV per atom